No. 1
{"formula": "ThUSe", "functional": "PBE-GGA", "state": "relaxed", "raw_formation_energy_ev_per_atom": -0.5577, "total_magnetization_mub_per_atom": 0.388, "n_ef_per_ev_cell": 19.1, "spacegroup": "Pnma (62)", "cell": [[11.273, 0.000, 0.000], [0.000, 4.648, 0.000], [0.000, 0.000, 5.816]], "species": ["Th", "Th", "Th", "Th", "U", "U", "U", "U", "Se", "Se", "Se", "Se"], "fractional_positions": [[0.197, 0.250, 0.132], [0.303, 0.750, 0.632], [0.697, 0.250, 0.368], [0.803, 0.750, 0.868], [0.023, 0.250, 0.582], [0.477, 0.750, 0.082], [0.523, 0.250, 0.918], [0.977, 0.750, 0.418], [0.080, 0.750, 0.888], [0.420, 0.250, 0.388], [0.580, 0.750, 0.612], [0.920, 0.250, 0.112]]}

No. 2
{"formula": "OsRu2W", "functional": "PBE-GGA", "state": "relaxed", "e_form_ev_per_fu": 0.60, "total_magnetization_mub_per_atom": 0.000, "n_ef_per_ev_cell": 3.7, "spacegroup": "R3m (160)", "e_above_lowest_polymorph_ev_per_atom": 0.164, "cell": [[1.373, 0.792, 8.978], [-1.373, 0.792, 8.978], [0.000, -1.585, 8.978]], "species": ["Os", "Ru", "Ru", "W"], "fractional_positions": [[0.000, 0.000, 0.000], [0.252, 0.252, 0.252], [0.503, 0.503, 0.503], [0.753, 0.753, 0.753]]}

No. 3
{"formula": "Tc2AsN", "functional": "PBE-GGA", "state": "relaxed", "raw_formation_energy_ev_per_atom": 0.1795, "total_magnetization_mub_per_atom": 0.000, "n_ef_per_ev_cell": 8.2, "spacegroup": "I-42d (122)", "e_above_lowest_polymorph_ev_per_atom": 0.000, "cell": [[-2.582, 2.582, 4.744], [2.582, -2.582, 4.744], [2.582, 2.582, -4.744]], "species": ["Tc", "Tc", "Tc", "Tc", "As", "As", "N", "N"], "fractional_positions": [[0.044, 0.625, 0.919], [0.375, 0.294, 0.419], [0.706, 0.125, 0.081], [0.875, 0.956, 0.581], [0.250, 0.750, 0.500], [0.500, 0.500, 0.000], [0.000, 0.000, 0.000], [0.750, 0.250, 0.500]]}

No. 4
{"formula": "SmYAl", "functional": "PBE-GGA", "state": "relaxed", "e_form_ev_per_fu": -0.08, "total_magnetization_mub_per_atom": 0.000, "n_ef_per_ev_cell": 3.5, "spacegroup": "R3m (160)", "e_above_lowest_polymorph_ev_per_atom": 0.231, "cell": [[1.762, 1.017, 7.923], [-1.762, 1.017, 7.923], [0.000, -2.035, 7.923]], "species": ["Sm", "Y", "Al"], "fractional_positions": [[0.000, 0.000, 0.000], [0.206, 0.206, 0.206], [0.772, 0.772, 0.772]]}

No. 5
{"formula": "HfGeRh6", "functional": "PBE-GGA", "state": "relaxed", "e_form_ev_per_fu": -1.07, "total_magnetization_mub_per_atom": 0.000, "n_ef_per_ev_cell": 9.8, "spacegroup": "R-3m (166)", "cell": [[4.412, 2.547, 1.862], [-4.412, 2.547, 1.862], [0.000, -5.095, 1.862]], "species": ["Hf", "Ge", "Rh", "Rh", "Rh", "Rh", "Rh", "Rh"], "fractional_positions": [[0.000, 0.000, 0.000], [0.500, 0.500, 0.500], [0.238, 0.238, 0.709], [0.238, 0.709, 0.238], [0.291, 0.762, 0.762], [0.709, 0.238, 0.238], [0.762, 0.291, 0.762], [0.762, 0.762, 0.291]]}

No. 6
{"formula": "BaNbCr2", "functional": "PBE-GGA", "state": "relaxed", "e_form_ev_per_fu": 4.84, "total_magnetization_mub_per_atom": 1.326, "n_ef_per_ev_cell": 5.4, "spacegroup": "I4_1/amd (141)", "e_above_lowest_polymorph_ev_per_atom": 0.000, "cell": [[-2.732, 2.732, 8.141], [2.732, -2.732, 8.141], [2.732, 2.732, -8.141]], "species": ["Ba", "Ba", "Nb", "Nb", "Cr", "Cr", "Cr", "Cr"], "fractional_positions": [[0.375, 0.625, 0.750], [0.625, 0.375, 0.250], [0.125, 0.875, 0.250], [0.875, 0.125, 0.750], [0.000, 0.000, 0.000], [0.000, 0.000, 0.500], [0.000, 0.500, 0.000], [0.500, 0.000, 0.500]]}